Ho3Er4Th2: optimized geometry, PBE-GGA.

Summary:
DFT formation energy: 0.119 eV per atom
excess energy over the best structure of this formula in the dataset: 0.48 eV/f.u.

Cell and atoms, written as CIF:
```
data_Ho3Er4Th2
_chemical_formula_sum 'Ho12 Er16 Th8'
_space_group_name_H-M_alt 'C 1 2/c 1'
_space_group_IT_number 15
_space_group_name_Hall '-C 2yc'
_cell_length_a 16.099
_cell_length_b 11.600
_cell_length_c 6.074
_cell_angle_alpha 90.00
_cell_angle_beta 97.57
_cell_angle_gamma 90.00
loop_
_atom_site_label
_atom_site_fract_x
_atom_site_fract_y
_atom_site_fract_z
Ho1 0.000 0.109 0.250
Ho2 0.167 0.394 0.088
Er1 0.049 0.364 0.519
Er2 0.218 0.136 0.347
Th1 0.114 0.137 0.813
```

TmSc3Zn8: optimized geometry, PBE-GGA.

Summary:
DFT formation energy: -0.331 eV per atom

Cell and atoms, written as CIF:
```
data_TmSc3Zn8
_chemical_formula_sum 'Tm1 Sc3 Zn8'
_space_group_name_H-M_alt 'P 3 m 1'
_space_group_IT_number 156
_space_group_name_Hall 'P 3 -2"'
_cell_length_a 5.3278
_cell_length_b 5.3278
_cell_length_c 8.5042
_cell_angle_alpha 90.00
_cell_angle_beta 90.00
_cell_angle_gamma 120.00
loop_
_atom_site_label
_atom_site_fract_x
_atom_site_fract_y
_atom_site_fract_z
Tm1 0.0000 0.0000 0.0000
Sc1 0.0000 0.0000 0.3797
Sc2 0.6667 0.3333 0.4918
Sc3 0.6667 0.3333 0.8658
Zn1 0.1632 0.3265 0.6823
Zn2 0.3333 0.6667 0.4345
Zn3 0.3333 0.6667 0.9342
Zn4 0.5044 0.0088 0.1870
```

ZrAl3Re: optimized geometry, PBE-GGA.

Summary:
DFT formation energy: 0.293 eV per atom
excess energy over the best structure of this formula in the dataset: 0.00 eV/f.u.

Cell and atoms, written as CIF:
```
data_ZrAl3Re
_chemical_formula_sum 'Zr1 Al3 Re1'
_space_group_name_H-M_alt 'P m -3 m'
_space_group_IT_number 221
_space_group_name_Hall '-P 4 2 3'
_cell_length_a 4.679
_cell_length_b 4.679
_cell_length_c 4.679
_cell_angle_alpha 90.00
_cell_angle_beta 90.00
_cell_angle_gamma 90.00
loop_
_atom_site_label
_atom_site_fract_x
_atom_site_fract_y
_atom_site_fract_z
Zr1 0.000 0.000 0.000
Al1 0.000 0.500 0.500
Re1 0.500 0.500 0.500
```